[1]
First-principles (PBE) data for Pa2Se4F after structural relaxation, as listed in Alexandria via LeMat-Bulk.

POSCAR file:
```
Pa2Se4F
1.0
-8.0457 2.0480 -0.5121
-1.5090 -8.1205 -0.9843
4.2602 2.4456 6.4460
Se Pa F
8 4 2
Cartesian
-6.7826 -2.8285 0.4973
0.0804 1.3979 4.5539
-4.8786 -1.2590 3.7370
-3.0196 -3.5278 0.7645
-2.2757 0.5212 1.3473
-3.9367 2.4302 4.2066
-6.0384 1.2205 1.0800
-0.8616 -2.2916 4.0843
1.6238 -0.9546 4.4014
-4.5291 -1.1537 0.9223
-2.3991 0.0695 4.1455
-5.2835 -5.2139 0.4302
-0.0529 -0.0291 -0.0069
-0.9630 -4.3290 2.3628
```

Output
magnetic moment: 1.08 μB per formula unit
raw formation energy: -1.307 eV/atom
uncorrected energy: -87.90 eV per cell

***

[2]
First-principles (PBE) data for Mn2NiRh after structural relaxation, as listed in Alexandria via LeMat-Bulk.

POSCAR file:
```
Mn2NiRh
1.0
-1.4691 -0.4740 2.2670
2.9740 -0.7044 1.7799
0.4106 5.1003 1.3324
Ni Mn Rh
1 2 1
Cartesian
0.2018 2.5060 0.6547
0.0003 0.0038 0.0010
0.8588 0.7321 2.3686
1.0599 3.2301 3.0212
```

Output
magnetic moment: 0.65 μB per formula unit
energy of formation: -0.077 eV per atom
uncorrected energy: -31.78 eV per cell

***

[3]
First-principles (PBE) data for AlPCS2 after structural relaxation, as listed in Alexandria via LeMat-Bulk.

POSCAR file:
```
AlPCS2
1.0
-4.0127 -0.0550 2.0940
-2.0910 -0.1622 -4.0113
0.1284 -4.6923 0.1228
S Al P C
2 1 1 1
Cartesian
-1.0455 -0.0811 -2.0057
-2.0064 -0.0275 1.0470
0.0000 0.0000 0.0000
0.0642 -2.3462 0.0614
-2.9877 -2.4548 -0.8973
```

Output
magnetic moment: 0.27 μB per formula unit
raw formation energy: 1.659 eV/atom
uncorrected energy: -18.33 eV per cell
energy above the lowest structure with this stoichiometry: 628 meV per atom

***

[4]
First-principles (PBE) data for NaTb3Ho3Se8 after structural relaxation, as listed in Alexandria via LeMat-Bulk.

POSCAR file:
```
NaTb3Ho3Se8
1.0
8.1276 0.0000 0.0000
-4.0638 7.0389 -0.0243
0.0000 -4.6695 6.6583
Ho Tb Se Na
3 3 8 1
Cartesian
-2.0319 1.1847 3.3170
4.0638 -2.3348 3.3292
2.0319 1.1847 3.3170
2.0319 3.5194 -0.0121
0.0000 0.0000 0.0000
-2.0319 3.5194 -0.0121
6.0490 -1.1404 1.6483
0.0000 0.0716 4.9977
2.0786 -1.1404 1.6483
-1.9852 3.5097 4.9858
0.0000 2.3520 1.6732
1.9852 3.5097 4.9858
4.0638 2.2978 1.6363
4.0638 0.0173 4.9609
0.0000 -2.3348 3.3292
```

Output
magnetic moment: 0.00 μB per formula unit
raw formation energy: -1.777 eV/atom
uncorrected energy: -83.47 eV per cell

***

[5]
First-principles (PBE) data for YMn4Ga8 after structural relaxation, as listed in Alexandria via LeMat-Bulk.

POSCAR file:
```
YMn4Ga8
1.0
5.2151 0.0000 0.0000
2.6076 6.2086 0.0000
2.6076 0.0000 6.2086
Ga Y Mn
8 1 4
Cartesian
5.2151 2.0696 2.0696
2.6076 1.4132 1.4132
7.8227 4.7954 4.7954
5.2151 4.7954 1.4132
5.2151 1.4132 4.7954
2.6076 4.1390 2.0696
5.2151 4.1390 4.1390
2.6076 2.0696 4.1390
0.0000 0.0000 0.0000
1.3038 3.1043 0.0000
3.9113 3.1043 0.0000
3.9113 0.0000 3.1043
1.3038 0.0000 3.1043
```

Output
magnetic moment: 8.61 μB per formula unit
energy of formation: -0.259 eV per atom
uncorrected energy: -70.72 eV per cell

***

[6]
First-principles (PBE) data for BaTl2HgPd2 after structural relaxation, as listed in Alexandria via LeMat-Bulk.

POSCAR file:
```
BaTl2HgPd2
1.0
-1.1855 -4.4600 2.8428
-0.7426 -2.7442 -4.6149
6.7813 2.0482 0.8739
Hg Tl Pd Ba
1 2 2 1
Cartesian
0.0000 0.0000 0.0000
2.5373 -2.1490 -2.3135
2.3159 -3.0070 1.4154
2.2483 -4.4602 -0.8927
2.6050 -0.6958 -0.0054
-0.9640 -3.6021 -0.8860
```

Output
magnetic moment: 0.00 μB per formula unit
energy of formation: -0.277 eV per atom
uncorrected energy: -19.01 eV per cell

***

[7]
First-principles (PBE) data for Tl3Cr2CuSe6 after structural relaxation, as listed in Alexandria via LeMat-Bulk.

POSCAR file:
```
Tl3Cr2CuSe6
1.0
6.6543 -0.0014 0.0162
-3.3267 5.7630 0.0162
-1.1112 -1.9240 7.2922
Cu Se Cr Tl
1 6 2 3
Cartesian
0.0000 0.0000 0.0000
2.2653 -0.0012 1.3254
3.3495 1.8761 5.9993
0.0116 0.0201 6.0149
-0.0489 3.8388 5.9993
2.2048 3.8175 1.3098
-1.1331 1.9615 1.3254
-0.0053 3.8448 0.0162
3.3329 1.9169 0.0162
-2.2177 3.8397 3.6624
1.1082 1.9188 3.6624
4.4341 -0.0020 3.6624
```

Output
magnetic moment: 4.61 μB per formula unit
raw formation energy: -0.360 eV/atom
uncorrected energy: -55.67 eV per cell

***

[8]
First-principles (PBE) data for ZnSnHg2 after structural relaxation, as listed in Alexandria via LeMat-Bulk.

POSCAR file:
```
ZnSnHg2
1.0
0.0000 3.6265 3.6265
3.6265 0.0000 3.6265
3.6265 3.6265 0.0000
Zn Sn Hg
1 1 2
Cartesian
0.0000 0.0000 0.0000
3.6265 3.6265 3.6265
1.8133 1.8133 1.8133
5.4398 5.4398 5.4398
```

Output
magnetic moment: 0.00 μB per formula unit
energy of formation: 0.169 eV per atom
uncorrected energy: -5.20 eV per cell
energy above the lowest structure with this stoichiometry: 79 meV per atom

***

[9]
First-principles (PBE) data for SrLa3 after structural relaxation, as listed in Alexandria via LeMat-Bulk.

POSCAR file:
```
SrLa3
1.0
-0.9974 -0.5179 3.6868
-1.6184 -2.1552 -2.7552
9.2176 -8.5707 1.2898
La Sr
3 1
Cartesian
4.4662 -4.1527 0.6249
1.1000 -3.2063 1.8619
0.1426 -0.1326 0.0200
5.7088 -7.4916 2.5068
```

Output
magnetic moment: 0.01 μB per formula unit
energy of formation: 0.087 eV per atom
uncorrected energy: -16.12 eV per cell

***

[10]
First-principles (PBE) data for RbTl3B4O12 after structural relaxation, as listed in Alexandria via LeMat-Bulk.

POSCAR file:
```
RbTl3B4O12
1.0
6.6475 0.1427 0.1983
-1.4631 6.4861 0.1983
-1.4631 -1.8708 6.2136
Rb B O Tl
1 4 12 3
Cartesian
0.0000 0.0000 0.0000
-1.8597 1.4554 6.0643
1.8606 2.3790 3.3051
1.8606 6.2123 0.5459
5.5810 -0.5307 3.3051
4.6013 2.5066 5.2662
1.8606 -1.0058 5.7415
2.9659 5.4772 4.0486
2.9506 2.6496 2.4967
0.7554 2.6574 0.1311
-1.4245 4.9483 3.3051
-0.8800 0.5598 2.5616
0.7706 3.2315 3.3051
5.1458 3.1946 0.8687
1.8606 1.2559 4.1135
1.3241 3.3847 6.4791
2.3971 -0.3116 1.3440
-1.4631 2.6508 2.9589
2.9253 3.0539 0.1983
2.2591 -0.9467 3.4530
```

Output
magnetic moment: 2.05 μB per formula unit
raw formation energy: -1.496 eV/atom
uncorrected energy: -124.20 eV per cell

***

[11]
First-principles (PBE) data for Tb4Dy5Y3 after structural relaxation, as listed in Alexandria via LeMat-Bulk.

POSCAR file:
```
Tb4Dy5Y3
1.0
-4.6750 -2.6851 -4.6414
11.0966 -1.6658 0.6987
-12.0490 -3.1225 3.0522
Dy Y Tb
5 3 4
Cartesian
-8.3620 -2.9038 -0.7946
-7.6742 -4.6216 2.2391
-1.4228 -2.8650 -2.3628
2.0468 -2.8518 -3.1295
-4.2046 -4.6084 1.4724
-0.7397 -4.5866 0.6844
-6.0245 -1.5613 1.5261
-4.8877 -2.8867 -1.5748
0.9212 -1.5284 -0.0365
-3.0750 -5.9357 -1.6346
-2.5523 -1.5376 0.7442
-6.5486 -5.9450 -0.8539
```

Output
magnetic moment: 0.00 μB per formula unit
energy of formation: 0.018 eV per atom
uncorrected energy: -60.71 eV per cell
energy above the lowest structure with this stoichiometry: 0 meV per atom

***

[12]
First-principles (PBE) data for TcBr2 after structural relaxation, as listed in Alexandria via LeMat-Bulk.

POSCAR file:
```
TcBr2
1.0
1.6604 -7.6541 0.0000
1.6604 7.6541 0.0000
0.0000 0.0000 3.1150
Br Tc
2 1
Cartesian
1.6604 1.8681 1.5575
1.6604 -1.8681 1.5575
0.0000 0.0000 1.5575
```

Output
magnetic moment: 0.00 μB per formula unit
raw formation energy: 0.205 eV/atom
uncorrected energy: -13.10 eV per cell
energy above the lowest structure with this stoichiometry: 512 meV per atom